# SrCa2TlNi (GGA-PBE, relaxed)
data_SrCa2TlNi
_chemical_formula_sum 'Sr1 Ca2 Tl1 Ni1'
_cell_length_a 5.4817
_cell_length_b 5.4817
_cell_length_c 5.2003
_cell_angle_alpha 90.00
_cell_angle_beta 90.00
_cell_angle_gamma 90.00
_symmetry_space_group_name_H-M 'P 1'
_symmetry_Int_Tables_number 1
loop_
_symmetry_equiv_pos_as_xyz
'x,y,z'
loop_
_atom_site_label
_atom_site_type_symbol
_atom_site_fract_x
_atom_site_fract_y
_atom_site_fract_z
Sr1 Sr 0.0000 0.0000 0.0000
Ca1 Ca 0.0000 0.5000 0.5000
Ca2 Ca 0.5000 0.0000 0.5000
Tl1 Tl 0.5000 0.5000 0.0000
Ni1 Ni 0.5000 0.5000 0.5000
# Energy of formation   -0.113 eV per atom
# M_tot   0.000 μB per formula unit
# Total DFT energy (no corrections)   -2.88 eV per atom